No. 1
First-principles (PBE-GGA) data for a relaxed structure of NbReSb2, as listed in Alexandria via LeMat-Bulk.

The structure belongs to space group Fm-3m (No. 225); the cell edges are 6.6878, 6.6878 and 6.6878 Å and the angles 90.00°, 90.00° and 90.00°. Symmetry generates all atoms from Nb at (0.0000, 0.0000, 0.0000), Re at (0.0000, 0.0000, 0.5000) and Sb at (0.2500, 0.2500, 0.2500).

The total magnetic moment is 0.0000 μB/atom. Its formation energy (no corrections) is 309 meV per atom. Its energy relative to the lowest polymorph listed for this composition is 0 meV per atom. Its total energy is -7.38 eV/atom.

---

No. 2
First-principles (PBE-GGA) data for a relaxed structure of Cd3OsO6, as listed in Alexandria via LeMat-Bulk.

The structure belongs to space group R-3 (No. 148, hexagonal axes); the cell edges are 9.2823, 9.2823 and 11.3004 Å and the angles 90.00°, 90.00° and 120.00°. Symmetry generates all atoms from Cd at (0.0342, 0.2599, 0.2146), Os at (0.0000, 0.0000, 0.0000), Os at (0.0000, 0.0000, 0.5000), O at (0.0188, 0.1762, 0.8937) and O at (0.0319, 0.1871, 0.4062).

The total magnetic moment is 0.1994 μB/atom. Its formation energy (no corrections) is -984 meV per atom. Its energy relative to the lowest polymorph listed for this composition is 0 meV per atom. Its total energy is -5.36 eV/atom.

---

No. 3
First-principles (PBE-GGA) data for a relaxed structure of Cs2AlInIr, as listed in Alexandria via LeMat-Bulk.

The structure belongs to space group P4/mmm (No. 123); the cell edges are 7.2296, 7.2296 and 4.9243 Å and the angles 90.00°, 90.00° and 90.00°. Symmetry generates all atoms from Cs at (0.0000, 0.5000, 0.0000), Al at (0.0000, 0.0000, 0.5000), In at (0.0000, 0.0000, 0.0000) and Ir at (0.5000, 0.5000, 0.5000).

The total magnetic moment is 0.4031 μB/atom. The formation energy from the elements comes out at 5.9 eV per formula unit. Its total energy is -2.22 eV/atom.

---

No. 4
First-principles (PBE-GGA) data for a relaxed structure of B2MoIr2, as listed in Alexandria via LeMat-Bulk.

The structure belongs to space group I4/mmm (No. 139); the cell edges are 3.7351, 3.7351 and 8.5377 Å and the angles 90.00°, 90.00° and 90.00°. Symmetry generates all atoms from B at (0.0000, 0.0000, 0.1058), Mo at (0.0000, 0.0000, 0.5000) and Ir at (0.0000, 0.5000, 0.2500).

The total magnetic moment is 0.1171 μB/atom. The formation energy from the elements comes out at -0.1 eV per formula unit. Its total energy is -8.41 eV/atom.

---

No. 5
First-principles (PBE-GGA) data for a relaxed structure of PmSm2Y6Ho3, as listed in Alexandria via LeMat-Bulk.

The structure belongs to space group C2/m (No. 12); the cell edges are 6.1982, 10.7261 and 11.8308 Å and the angles 90.00°, 100.01° and 90.00°. Symmetry generates all atoms from Pm at (0.0000, 0.0000, 0.0000), Sm at (0.0000, 0.3334, 0.0000), Y at (0.2489, 0.0000, 0.7472), Y at (0.2487, 0.3333, 0.7474), Ho at (0.0000, 0.1667, 0.5000) and Ho at (0.0000, 0.5000, 0.5000).

The total magnetic moment is 0.0000 μB/atom. The formation energy from the elements comes out at 0.2 eV per formula unit. Its total energy is -5.54 eV/atom.

---

No. 6
First-principles (PBE-GGA) data for a relaxed structure of ZnInSCl2, as listed in Alexandria via LeMat-Bulk.

The structure belongs to space group P4/mmm (No. 123); the cell edges are 5.0803, 5.0803 and 5.1553 Å and the angles 90.00°, 90.00° and 90.00°. Symmetry generates all atoms from Zn at (0.0000, 0.0000, 0.0000), In at (0.5000, 0.5000, 0.5000), S at (0.5000, 0.5000, 0.0000) and Cl at (0.0000, 0.5000, 0.5000).

The total magnetic moment is 0.0000 μB/atom. Its formation energy (no corrections) is -216 meV per atom. Its energy relative to the lowest polymorph listed for this composition is 243 meV per atom. Its total energy is -2.58 eV/atom.